Material: ScTi2Mn
Method: DFT, GGA-PBE
State: optimized geometry

Properties
volume	17.0	A^3/atom
DFT formation energy	-11	kJ/mol of formula units
symmetry	P4/mmm, No. 123
offset from the most stable computed form	0.00	kcal/mol of atoms

abc: 3.0346 3.0346 7.3670
angles: 90.00 90.00 90.00
Fractional coordinates of all 4 atoms:
Sc  0.0000  0.0000  0.0000
Ti  0.5000  0.5000  0.3113
Ti  0.5000  0.5000  0.6887
Mn  0.0000  0.0000  0.5000


Material: Sc2TiMn
Method: DFT, GGA-PBE
State: optimized geometry

Properties
volume	18.8	A^3/atom
DFT formation energy	203	kJ/mol of formula units
symmetry	I-42d, No. 122
offset from the most stable computed form	4.82	kcal/mol of atoms

abc: 5.9036 5.9036 5.9036
angles: 102.76 102.76 123.93
Fractional coordinates of all 8 atoms:
Sc  0.0783  0.1250  0.4533
Sc  0.3750  0.9217  0.0467
Sc  0.6717  0.6250  0.5467
Sc  0.8750  0.3283  0.9533
Ti  0.2500  0.7500  0.5000
Ti  0.5000  0.5000  0.0000
Mn  0.0000  0.0000  0.0000
Mn  0.7500  0.2500  0.5000


Material: ScTiMn
Method: DFT, GGA-PBE
State: optimized geometry

Properties
volume	17.3	A^3/atom
DFT formation energy	4	kJ/mol of formula units
symmetry	Fmmm, No. 69

abc: 6.1664 5.3848 4.9182
angles: 73.37 56.79 49.84
Fractional coordinates of all 6 atoms:
Sc  0.1783  0.8217  0.1783
Sc  0.8217  0.1783  0.8217
Ti  0.3242  0.3242  0.6758
Ti  0.6758  0.6758  0.3242
Mn  0.2500  0.2500  0.2500
Mn  0.7500  0.7500  0.7500


> The lowest DFT formation energy belongs to which entry?

ScTi2Mn


> What is the formula in the third record?

ScTiMn


> Which of these has the lowest DFT formation energy?

ScTi2Mn


Please write out number 2 again, unchanged.
Material: Sc2TiMn
Method: DFT, GGA-PBE
State: optimized geometry

Properties
volume	18.8	A^3/atom
DFT formation energy	203	kJ/mol of formula units
symmetry	I-42d, No. 122
offset from the most stable computed form	4.82	kcal/mol of atoms

abc: 5.9036 5.9036 5.9036
angles: 102.76 102.76 123.93
Fractional coordinates of all 8 atoms:
Sc  0.0783  0.1250  0.4533
Sc  0.3750  0.9217  0.0467
Sc  0.6717  0.6250  0.5467
Sc  0.8750  0.3283  0.9533
Ti  0.2500  0.7500  0.5000
Ti  0.5000  0.5000  0.0000
Mn  0.0000  0.0000  0.0000
Mn  0.7500  0.2500  0.5000